Entry from Alexandria: an optimized crystal structure of La3Er13 (GGA-PBE).

a = 7.255 Å, b = 8.444 Å, c = 8.444 Å
α = 84.18°, β = 90.00°, γ = 90.00°
Element x y z (fractional)
La  0.000  0.000  0.000
La  0.254  0.746  0.746
La  0.746  0.746  0.746
Er  0.000  0.414  0.918
Er  0.000  0.495  0.495
Er  0.000  0.918  0.414
Er  0.250  0.251  0.251
Er  0.251  0.170  0.661
Er  0.251  0.661  0.170
Er  0.500  0.001  0.001
Er  0.500  0.409  0.922
Er  0.500  0.495  0.495
Er  0.500  0.922  0.409
Er  0.749  0.170  0.661
Er  0.749  0.661  0.170
Er  0.750  0.251  0.251

Its space group is Amm2 (38). For the energy above the most stable polymorph in this dataset, the calculation gives 0.00 eV/f.u.

=====

Entry from Alexandria: an optimized crystal structure of La7Er5 (GGA-PBE).

a = 9.677 Å, b = 9.677 Å, c = 13.359 Å
α = 117.58°, β = 117.58°, γ = 21.90°
Element x y z (fractional)
La  0.000  0.000  0.000
La  0.140  0.140  0.752
La  0.168  0.168  0.505
La  0.472  0.472  0.750
La  0.528  0.528  0.250
La  0.832  0.832  0.495
La  0.860  0.860  0.248
Er  0.192  0.192  0.247
Er  0.330  0.330  0.994
Er  0.500  0.500  0.500
Er  0.670  0.670  0.006
Er  0.808  0.808  0.753

Its space group is C2/m (12). For the energy, the calculation gives -4.755 eV/atom.

=====

Entry from Alexandria: an optimized crystal structure of LaEr3 (GGA-PBE).

a = 5.052 Å, b = 5.052 Å, c = 5.052 Å
α = 90.00°, β = 90.00°, γ = 90.00°
Element x y z (fractional)
La  0.000  0.000  0.000
Er  0.000  0.500  0.500
Er  0.500  0.000  0.500
Er  0.500  0.500  0.000

Its space group is Pm-3m (221). For the energy, the calculation gives -4.615 eV/atom.

=====

Number 1: theoretical density 8.360 g/cm3. Number 2: theoretical density 7.301 g/cm3. Number 3: theoretical density 8.251 g/cm3.